# Tb3Ga4Pt2, relaxed, DFT PBE
# Spin magnetization, μB per atom: 0.000
# Mass density, Mg/m³: 10.3
# DFT formation energy, kJ/mol of formula units: -823
# DFT total energy, eV per atom: -5.18
data_Tb3Ga4Pt2
_cell_length_a 4.3802
_cell_length_b 5.7889
_cell_length_c 8.3986
_cell_angle_alpha 71.11
_cell_angle_beta 74.88
_cell_angle_gamma 67.77
_symmetry_space_group_name_H-M 'P 1'
_symmetry_Int_Tables_number 1
loop_
_symmetry_equiv_pos_as_xyz
'x,y,z'
loop_
_atom_site_label
_atom_site_type_symbol
_atom_site_fract_x
_atom_site_fract_y
_atom_site_fract_z
Tb1 Tb 0.0000 0.0000 0.0000
Tb2 Tb 0.3194 0.7188 0.6425
Tb3 Tb 0.6806 0.2812 0.3575
Ga1 Ga 0.9819 0.6793 0.3569
Ga2 Ga 0.0181 0.3207 0.6431
Ga3 Ga 0.7444 0.5951 0.9161
Ga4 Ga 0.2556 0.4049 0.0839
Pt1 Pt 0.3989 0.9332 0.2689
Pt2 Pt 0.6011 0.0668 0.7311


# Tb3Ga4Pt4, relaxed, DFT PBE
# Spin magnetization, μB per atom: 0.000
# Mass density, Mg/m³: 11.8
# DFT formation energy, kJ/mol of formula units: -1035
# Polymorph energy (0 for the lowest one), eV/atom: 0.0710
# DFT total energy, eV per atom: -5.54
data_Tb3Ga4Pt4
_cell_length_a 4.3867
_cell_length_b 3.7641
_cell_length_c 13.4112
_cell_angle_alpha 98.07
_cell_angle_beta 99.41
_cell_angle_gamma 90.00
_symmetry_space_group_name_H-M 'P 1'
_symmetry_Int_Tables_number 1
loop_
_symmetry_equiv_pos_as_xyz
'x,y,z'
loop_
_atom_site_label
_atom_site_type_symbol
_atom_site_fract_x
_atom_site_fract_y
_atom_site_fract_z
Ga1 Ga 0.1915 0.6915 0.3830
Ga2 Ga 0.8085 0.3085 0.6170
Ga3 Ga 0.4518 0.4518 0.9036
Ga4 Ga 0.5482 0.5482 0.0964
Tb1 Tb 0.6435 0.1435 0.2870
Tb2 Tb 0.3565 0.8565 0.7130
Tb3 Tb 0.0000 0.0000 0.0000
Pt1 Pt 0.2566 0.2566 0.5133
Pt2 Pt 0.0957 0.5957 0.1914
Pt3 Pt 0.9043 0.4043 0.8086
Pt4 Pt 0.7434 0.7434 0.4867


# Tb2GaPt3, relaxed, DFT PBE
# Spin magnetization, μB per atom: 0.000
# Mass density, Mg/m³: 13.4
# DFT formation energy, kJ/mol of formula units: -640
# DFT total energy, eV per atom: -6.17
data_Tb2GaPt3
_cell_length_a 3.9053
_cell_length_b 7.1344
_cell_length_c 17.2905
_cell_angle_alpha 90.00
_cell_angle_beta 90.00
_cell_angle_gamma 90.00
_symmetry_space_group_name_H-M 'P 1'
_symmetry_Int_Tables_number 1
loop_
_symmetry_equiv_pos_as_xyz
'x,y,z'
loop_
_atom_site_label
_atom_site_type_symbol
_atom_site_fract_x
_atom_site_fract_y
_atom_site_fract_z
Pt1 Pt 0.2500 0.5982 0.3446
Pt2 Pt 0.2500 0.7342 0.9494
Pt3 Pt 0.7500 0.2983 0.8155
Pt4 Pt 0.7500 0.2658 0.0506
Pt5 Pt 0.7500 0.7983 0.6845
Pt6 Pt 0.2500 0.0982 0.1554
Pt7 Pt 0.2500 0.2017 0.3155
Pt8 Pt 0.7500 0.9018 0.8446
Pt9 Pt 0.2500 0.2342 0.5506
Pt10 Pt 0.2500 0.7017 0.1845
Pt11 Pt 0.7500 0.7658 0.4494
Pt12 Pt 0.7500 0.4018 0.6554
Ga1 Ga 0.7500 0.5100 0.9350
Ga2 Ga 0.7500 0.0100 0.5650
Ga3 Ga 0.2500 0.4900 0.0650
Ga4 Ga 0.2500 0.9900 0.4350
Tb1 Tb 0.7500 0.8568 0.0702
Tb2 Tb 0.2500 0.1016 0.7127
Tb3 Tb 0.2500 0.1432 0.9298
Tb4 Tb 0.7500 0.3568 0.4298
Tb5 Tb 0.7500 0.8984 0.2873
Tb6 Tb 0.7500 0.3984 0.2127
Tb7 Tb 0.2500 0.6016 0.7873
Tb8 Tb 0.2500 0.6432 0.5702